1.
This record from Alexandria describes a relaxed structure of Ca3CdPb2. The functional is PBE.

E above lowest polymorph = 0.00 eV per formula unit
energy of formation = -0.490 eV per atom
SG = P-3m1, No. 164

a = 5.5173 Å, b = 5.5173 Å, c = 13.4980 Å
α = 90.00°, β = 90.00°, γ = 120.00°
With the nearest neighbours (Å) after each atom.
Sites, in units of the cell vectors:
Ca  0.0000  0.0000  0.7480  5 Pb 3.35-3.40, 3 Cd 3.36
Pb  0.0000  0.0000  0.5000  8 Ca 3.35-3.37
Ca  0.3333  0.6667  0.9166  1 Cd 3.35, 7 Pb 3.38-3.46
Ca  0.6667  0.3333  0.0834  1 Cd 3.35, 7 Pb 3.38-3.46
Pb  0.0000  0.0000  0.0000  8 Ca 3.38-3.40
Ca  0.6667  0.3333  0.5808  4 Pb 3.32-3.37, 4 Cd 3.37-3.40
Ca  0.0000  0.0000  0.2520  5 Pb 3.35-3.40, 3 Cd 3.36
Pb  0.6667  0.3333  0.8269  8 Ca 3.32-3.46
Cd  0.3333  0.6667  0.6688  8 Ca 3.35-3.40
Ca  0.3333  0.6667  0.4192  4 Pb 3.32-3.37, 4 Cd 3.37-3.40
Pb  0.3333  0.6667  0.1731  8 Ca 3.32-3.46
Cd  0.6667  0.3333  0.3312  8 Ca 3.35-3.40

---

2.
This record from Alexandria describes a relaxed structure of Ca3Cd2Pb4. The functional is PBE.

E above lowest polymorph = 0.00 eV per formula unit
energy of formation = -0.346 eV per atom
SG = C2/m, No. 12

a = 4.8305 Å, b = 6.6964 Å, c = 9.3477 Å
α = 105.66°, β = 90.00°, γ = 111.14°
With the nearest neighbours (Å) after each atom.
Sites, in units of the cell vectors:
Pb  0.0592  0.1184  0.3715  3 Cd 3.02-3.13, 1 Pb 3.16, 3 Ca 3.28-3.33
Pb  0.3071  0.6142  0.9363  1 Cd 2.98, 2 Pb 3.20, 1 Ca 3.28
Ca  0.0000  0.0000  0.0000  6 Pb 3.33-3.34
Pb  0.6929  0.3858  0.0637  1 Cd 2.98, 2 Pb 3.20, 1 Ca 3.28
Ca  0.6268  0.2537  0.6980  5 Pb 3.28-3.60, 3 Cd 3.34-3.42
Cd  0.7072  0.4143  0.3873  4 Pb 2.98-3.13, 2 Cd 3.18
Cd  0.2928  0.5857  0.6127  4 Pb 2.98-3.13, 2 Cd 3.18
Pb  0.9408  0.8816  0.6285  3 Cd 3.02-3.13, 1 Pb 3.16, 3 Ca 3.28-3.33
Ca  0.3732  0.7463  0.3020  5 Pb 3.28-3.60, 3 Cd 3.34-3.42